Entry 1:
Computed, not measured: a PBEsol-optimized structure of Ba2FeAg at the SCAN level of DFT.

Structure (POSCAR):
```
Ba2FeAg
1.0
-4.0344 -3.5948 -0.8281
-0.6327 -4.2522 3.4968
-4.3357 -0.0855 3.4501
Ag Ba Fe
1 2 1
direct
0.0000 0.5000 0.5000
0.7527 0.2473 0.2473
0.2473 0.7527 0.7527
0.5000 0.0000 0.0000
```

- DOS at the Fermi energy: 0.7942 states/eV per atom
- Magnetic moment: 2.27 Bohr magnetons per cell
- SG: Immm (71)
- Energy relative to the lowest polymorph listed for this composition: 3.67 kcal/mol of atoms
- E_tot: -2.339 Ry per atom

=====

Entry 2:
Computed, not measured: a PBEsol-optimized structure of LaTl2Pt at the SCAN level of DFT.

Structure (POSCAR):
```
LaTl2Pt
1.0
3.6054 0.0000 0.0000
0.0000 5.0866 0.0000
-1.8027 -2.5433 5.3054
Tl Pt La
2 1 1
direct
0.7157 0.7157 0.4315
0.2843 0.2843 0.5685
0.0000 0.5000 0.0000
0.5000 0.0000 0.0000
```

- DOS at the Fermi energy: 0.4696 states/eV per atom
- Magnetic moment: 0.00 Bohr magnetons per cell
- SG: Immm (71)
- E_tot: -4.779 Ry per atom

=====

Entry 3:
Computed, not measured: a PBEsol-optimized structure of TcSbP2 at the SCAN level of DFT.

Structure (POSCAR):
```
TcSbP2
1.0
-1.7023 0.7441 -3.3229
-1.6397 -3.4350 0.0708
-3.5387 1.7345 2.2012
Sb P Tc
1 2 1
direct
0.5000 0.5000 0.5000
0.0000 0.5000 0.0000
0.5000 0.0000 0.0000
0.0000 0.0000 0.5000
```

- DOS at the Fermi energy: 0.8966 states/eV per atom
- Raw formation energy: 0.892 eV per atom
- Magnetic moment: 0.00 Bohr magnetons per cell
- SG: P4/mmm (123)
- E_tot: -1.645 Ry per atom

=====

Entry 4:
Computed, not measured: a PBEsol-optimized structure of LaTcRh2 at the SCAN level of DFT.

Structure (POSCAR):
```
LaTcRh2
1.0
4.1199 0.0000 0.0000
0.0000 4.1314 0.0000
-2.0599 -2.0657 3.9454
Rh La Tc
2 1 1
direct
0.7503 0.7503 0.5005
0.2497 0.2497 0.4995
0.0000 0.5000 0.0000
0.5000 0.0000 0.0000
```

- DOS at the Fermi energy: 1.0936 states/eV per atom
- Magnetic moment: 1.23 Bohr magnetons per cell
- SG: Immm (71)
- Energy relative to the lowest polymorph listed for this composition: 2.29 kcal/mol of atoms
- E_tot: -2.669 Ry per atom

=====

Entry 5:
Computed, not measured: a PBEsol-optimized structure of Nb2PdS6 at the SCAN level of DFT.

Structure (POSCAR):
```
Nb2PdS6
1.0
3.2372 0.0000 0.0000
1.6186 5.9558 0.1197
1.6186 1.3495 8.9132
S Pd Nb
6 1 2
direct
0.6605 0.2174 0.4616
0.3395 0.7826 0.5384
0.7823 0.3103 0.1251
0.2177 0.6897 0.8749
0.9910 0.7789 0.2391
0.0090 0.2211 0.7609
0.0000 0.0000 0.0000
0.3184 0.0735 0.2896
0.6816 0.9265 0.7104
```

- DOS at the Fermi energy: 0.1338 states/eV per atom
- Raw formation energy: -0.904 eV per atom
- Magnetic moment: 0.00 Bohr magnetons per cell
- SG: C2/m (12)
- E_tot: -1.347 Ry per atom

=====

Entry 6:
Computed, not measured: a PBEsol-optimized structure of Mg2TeSeBr at the SCAN level of DFT.

Structure (POSCAR):
```
Mg2TeSeBr
1.0
-3.7564 -1.5033 -3.2974
3.6239 -1.5491 -3.4221
0.0074 -5.0518 2.2946
Br Te Mg Se
1 1 2 1
direct
0.5000 0.5000 0.5000
0.0000 0.0000 0.5000
0.0000 0.5000 0.0000
0.5000 0.0000 0.0000
0.0000 0.0000 0.0000
```

- DOS at the Fermi energy: 0.7623 states/eV per atom
- Raw formation energy: -0.085 eV per atom
- Magnetic moment: 0.00 Bohr magnetons per cell
- SG: P4/mmm (123)
- E_tot: -1.281 Ry per atom